DFT (PBE) results for a geometry-optimized Tl2BrF structure.

Cell lengths 7.5157, 7.5157, 6.4615 Å; angles 90.13, 90.13, 46.75 degrees
With the nearest neighbours (Å) after each atom.
Fractional coordinates of all 8 atoms:
Tl  0.1191  0.1191  0.2504  2 F 2.59
Tl  0.2796  0.4832  0.2488  2 F 2.59
Tl  0.5168  0.7204  0.7512  2 F 2.59
Tl  0.8809  0.8809  0.7496  2 F 2.59
Br  0.2009  0.2998  0.7500  2 Tl 3.23
Br  0.7002  0.7991  0.2500  2 Tl 3.23
F  0.1981  0.8019  0.5000  4 Tl 2.59
F  0.1986  0.8014  0.0000  4 Tl 2.59

Summary:
Space group   No. 5
Raw formation energy   -5.13 eV per formula unit